*one*
Entry from Alexandria via LeMat-Bulk: an optimized crystal structure of MnBiRh3 (PBE).

Calculated values
total magnetic moment: 0.00 μB per atom
symmetry: Pm-3m
crystal system: cubic

Cell and atoms, written as POSCAR:
```
MnBiRh3
1.0
-1.602 3.673 2.100
-3.015 0.584 -3.322
-2.968 -2.576 2.241
Mn Rh Bi
1 3 1
Cartesian
0.000 0.000 0.000
-1.507 0.292 -1.661
-1.484 -1.288 1.120
-0.801 1.836 1.050
-3.793 0.840 0.509
```

*two*
Entry from Alexandria via LeMat-Bulk: an optimized crystal structure of MnBiRh3 (PBE).

Calculated values
total magnetic moment: 1.00 μB per atom
symmetry: Pm-3m
crystal system: cubic

Cell and atoms, written as POSCAR:
```
MnBiRh3
1.0
-1.527 -1.373 4.480
4.530 0.773 1.781
-1.199 4.670 1.023
Mn Rh Bi
1 3 1
Cartesian
0.902 2.035 3.642
2.265 0.386 0.890
-0.599 2.335 0.511
-0.763 -0.687 2.240
0.000 0.000 0.000
```

The most stable arrangement is *one*, and the next structure is 587 meV/atom less stable.

*one*
Entry from Alexandria via LeMat-Bulk: an optimized crystal structure of MnBi2Rh (PBE).

Calculated values
total magnetic moment: 0.00 μB per atom
symmetry: Fm-3m
crystal system: cubic

Cell and atoms, written as POSCAR:
```
MnBi2Rh
1.0
0.000 3.389 3.389
3.389 0.000 3.389
3.389 3.389 0.000
Mn Rh Bi
1 1 2
Cartesian
0.000 0.000 0.000
3.389 3.389 3.389
1.695 1.695 1.695
5.084 5.084 5.084
```

*two*
Entry from Alexandria via LeMat-Bulk: an optimized crystal structure of MnBi2Rh (PBE).

Calculated values
total magnetic moment: 0.95 μB per atom
symmetry: I-42d
crystal system: tetragonal

Cell and atoms, written as POSCAR:
```
MnBi2Rh
1.0
4.684 0.000 0.000
0.000 4.684 0.000
2.342 2.342 8.804
Mn Rh Bi
2 2 4
Cartesian
2.342 2.342 0.000
2.342 4.684 4.402
0.000 0.000 0.000
4.684 2.342 4.402
3.556 1.171 2.201
1.128 3.513 2.201
3.513 3.470 6.603
5.855 5.898 6.603
```

The most stable arrangement is *two*, and the next structure is 157 meV/atom less stable.